(1)
Entry from Alexandria: a relaxed structure of PuHfCo (PBE).

Calculated values
Excess energy over the best structure of this formula in the dataset = 0.000 eV per atom
N(E_F) = 9.1 states/eV/f.u.
Total moment = 5.8 μB/f.u.
Calculated volume = 59.21 Å³/cell
Symmetry = I4mm, No. 107
DFT formation energy = 5 meV per atom

Lattice parameters (Å, degrees): 3.2015 3.2015 6.2041 104.95 104.95 90.00
Sites, in units of the cell vectors:
Co  0.6870  0.6870  0.3739
Hf  0.2964  0.2964  0.5927
Pu  0.0167  0.0167  0.0333


(2)
Entry from Alexandria: a relaxed structure of Hg2Pt2Au (PBE).

Calculated values
Excess energy over the best structure of this formula in the dataset = 0.151 eV per atom
N(E_F) = 1.6 states/eV/f.u.
Total moment = 0.0 μB/f.u.
Calculated volume = 195.10 Å³/cell
Symmetry = P4/mbm, No. 127
DFT formation energy = 178 meV per atom

Lattice parameters (Å, degrees): 8.1076 8.1076 2.9680 90.00 90.00 90.00
Sites, in units of the cell vectors:
Au  0.0000  0.0000  0.0000
Au  0.5000  0.5000  0.0000
Hg  0.3267  0.8267  0.0000
Hg  0.8267  0.6733  0.0000
Hg  0.6733  0.1733  0.0000
Hg  0.1733  0.3267  0.0000
Pt  0.1238  0.6238  0.5000
Pt  0.6238  0.8762  0.5000
Pt  0.8762  0.3762  0.5000
Pt  0.3762  0.1238  0.5000


(3)
Entry from Alexandria: a relaxed structure of Tb4CeEr5 (PBE).

Calculated values
Excess energy over the best structure of this formula in the dataset = 0.177 eV per atom
N(E_F) = 15.6 states/eV/f.u.
Total moment = 0.0 μB/f.u.
Calculated volume = 319.63 Å³/cell
Symmetry = I4mm, No. 107
DFT formation energy = 267 meV per atom

Lattice parameters (Å, degrees): 5.8327 7.9564 7.9564 82.28 68.50 68.50
Sites, in units of the cell vectors:
Tb  0.4545  0.3248  0.6752
Tb  0.7793  0.6752  0.6752
Tb  0.1298  0.3248  0.3248
Tb  0.4546  0.6752  0.3248
Ce  0.2030  0.0000  0.0000
Er  0.7677  0.3733  0.0000
Er  0.1410  0.0000  0.6267
Er  0.7677  0.0000  0.3733
Er  0.1410  0.6267  0.0000
Er  0.6718  0.0000  0.0000


(4)
Entry from Alexandria: a relaxed structure of KBeSi2 (PBE).

Calculated values
N(E_F) = 2.0 states/eV/f.u.
Total moment = 0.0 μB/f.u.
Calculated volume = 69.36 Å³/cell
Symmetry = R-3m, No. 166
E_form (uncorrected) = 0.625 eV/atom

Lattice parameters (Å, degrees): 9.3132 9.3132 9.3132 18.27 18.27 18.27
Sites, in units of the cell vectors:
Be  0.2500  0.2500  0.2500
K  0.7500  0.7500  0.7500
Si  0.9804  0.9804  0.9804
Si  0.5196  0.5196  0.5196


(5)
Entry from Alexandria: a relaxed structure of Pr2Dy4N (PBE).

Calculated values
N(E_F) = 7.6 states/eV/f.u.
Total moment = 0.0 μB/f.u.
Calculated volume = 207.80 Å³/cell
Symmetry = I4/mmm, No. 139
E_form (uncorrected) = -0.299 eV/atom

Lattice parameters (Å, degrees): 4.8116 4.8116 9.5991 75.49 75.49 90.00
Sites, in units of the cell vectors:
Pr  0.3262  0.3262  0.3475
Pr  0.6738  0.6738  0.6525
N  0.0000  0.0000  0.0000
Dy  0.1299  0.1299  0.7401
Dy  0.8701  0.8701  0.2599
Dy  0.0000  0.5000  0.0000
Dy  0.5000  0.0000  0.0000


(6)
Entry from Alexandria: a relaxed structure of BaP2Rh (PBE).

Calculated values
N(E_F) = 2.7 states/eV/f.u.
Total moment = 0.0 μB/f.u.
Calculated volume = 96.48 Å³/cell
Symmetry = Immm, No. 71
DFT formation energy = -639 meV per atom

Lattice parameters (Å, degrees): 5.2767 5.2767 5.2767 134.02 105.02 92.63
Sites, in units of the cell vectors:
Ba  0.7500  0.2500  0.5000
P  0.0962  0.0962  0.0000
P  0.4038  0.4038  0.0000
Rh  0.2500  0.7500  0.5000


(7)
Entry from Alexandria: a relaxed structure of Bi2TeH (PBE).

Calculated values
Excess energy over the best structure of this formula in the dataset = 0.000 eV per atom
N(E_F) = 2.5 states/eV/f.u.
Total moment = 0.0 μB/f.u.
Calculated volume = 225.66 Å³/cell
Symmetry = I-42d, No. 122

Lattice parameters (Å, degrees): 6.3866 6.3866 7.1415 63.44 63.44 90.00
Sites, in units of the cell vectors:
H  0.5000  0.5000  0.0000
H  0.2500  0.7500  0.5000
Te  0.0000  0.0000  0.0000
Te  0.7500  0.2500  0.5000
Bi  0.5087  0.1250  0.2500
Bi  0.2413  0.6250  0.2500
Bi  0.3750  0.4913  0.7500
Bi  0.8750  0.7587  0.7500


(8)
Entry from Alexandria: a relaxed structure of Sc12Sn6Pd (PBE).

Calculated values
N(E_F) = 20.3 states/eV/f.u.
Total moment = 0.0 μB/f.u.
Calculated volume = 505.91 Å³/cell
Symmetry = R-3, No. 148
DFT formation energy = -326 meV per atom

Lattice parameters (Å, degrees): 8.1066 8.1066 8.1066 99.87 99.87 99.87
Sites, in units of the cell vectors:
Sc  0.7972  0.5820  0.4507
Sc  0.4507  0.7972  0.5820
Sc  0.5820  0.4507  0.7972
Sc  0.2028  0.4180  0.5493
Sc  0.5493  0.2028  0.4180
Sc  0.4180  0.5493  0.2028
Sc  0.0546  0.9880  0.3199
Sc  0.0120  0.6801  0.9454
Sc  0.6801  0.9454  0.0120
Sc  0.9454  0.0120  0.6801
Sc  0.9880  0.3199  0.0546
Sc  0.3199  0.0546  0.9880
Sn  0.6830  0.8811  0.3556
Sn  0.6444  0.3170  0.1189
Sn  0.1189  0.6444  0.3170
Sn  0.3170  0.1189  0.6444
Sn  0.3556  0.6830  0.8811
Sn  0.8811  0.3556  0.6830
Pd  0.0000  0.0000  0.0000


(9)
Entry from Alexandria: a relaxed structure of LuCrSb2 (PBE).

Calculated values
N(E_F) = 1.0 states/eV/f.u.
Total moment = 2.9 μB/f.u.
Calculated volume = 97.35 Å³/cell
Symmetry = R-3m, No. 166
E_form (uncorrected) = -0.358 eV/atom

Lattice parameters (Å, degrees): 4.1724 4.1724 6.8918 72.38 72.38 60.00
Sites, in units of the cell vectors:
Sb  0.2620  0.2620  0.2139
Sb  0.7380  0.7380  0.7861
Lu  0.5000  0.5000  0.5000
Cr  0.0000  0.0000  0.0000


(10)
Entry from Alexandria: a relaxed structure of DyYBe2 (PBE).

Calculated values
N(E_F) = 4.3 states/eV/f.u.
Total moment = 0.0 μB/f.u.
Calculated volume = 79.70 Å³/cell
Symmetry = Fm-3m, No. 225
DFT formation energy = 95 meV per atom

Lattice parameters (Å, degrees): 4.8304 4.8304 4.8304 60.00 60.00 60.00
Sites, in units of the cell vectors:
Y  0.5000  0.5000  0.5000
Be  0.2500  0.2500  0.2500
Be  0.7500  0.7500  0.7500
Dy  0.0000  0.0000  0.0000


(11)
Entry from Alexandria: a relaxed structure of SiHgCl2 (PBE).

Calculated values
Excess energy over the best structure of this formula in the dataset = 0.135 eV per atom
N(E_F) = 0.0 states/eV/f.u.
Total moment = 0.0 μB/f.u.
Calculated volume = 351.72 Å³/cell
Symmetry = I-42d, No. 122
E_form (uncorrected) = -0.276 eV/atom

Lattice parameters (Å, degrees): 7.9057 7.9057 7.9322 60.11 60.11 90.00
Sites, in units of the cell vectors:
Si  0.5000  0.5000  0.0000
Si  0.2500  0.7500  0.5000
Hg  0.0000  0.0000  0.0000
Hg  0.7500  0.2500  0.5000
Cl  0.3767  0.1250  0.2500
Cl  0.3733  0.6250  0.2500
Cl  0.3750  0.6233  0.7500
Cl  0.8750  0.6267  0.7500


(12)
Entry from Alexandria: a relaxed structure of DyHoHg (PBE).

Calculated values
Excess energy over the best structure of this formula in the dataset = 0.180 eV per atom
N(E_F) = 2.9 states/eV/f.u.
Total moment = 0.0 μB/f.u.
Calculated volume = 83.92 Å³/cell
Symmetry = P3m1, No. 156
DFT formation energy = -182 meV per atom

Lattice parameters (Å, degrees): 3.6892 5.1252 5.1252 120.00 90.00 90.00
Sites, in units of the cell vectors:
Dy  0.6082  0.6667  0.3333
Hg  0.3176  0.3333  0.6667
Ho  0.0742  0.0000  0.0000


(13)
Entry from Alexandria: a relaxed structure of Ba2ZrCu2Se6 (PBE).

Calculated values
N(E_F) = 7.8 states/eV/f.u.
Total moment = 0.0 μB/f.u.
Calculated volume = 318.63 Å³/cell
Symmetry = R-3m, No. 166
E_form (uncorrected) = -1.015 eV/atom

Lattice parameters (Å, degrees): 7.4296 7.4296 7.9264 62.05 62.05 60.00
Sites, in units of the cell vectors:
Ba  0.7713  0.7713  0.6861
Ba  0.2287  0.2287  0.3139
Zr  0.0000  0.0000  0.0000
Cu  0.4158  0.4158  0.7527
Cu  0.5842  0.5842  0.2473
Se  0.7559  0.7559  0.2658
Se  0.2225  0.7559  0.2658
Se  0.7559  0.2225  0.2658
Se  0.2441  0.7775  0.7342
Se  0.7775  0.2441  0.7342
Se  0.2441  0.2441  0.7342